Entry 1:
This record from Alexandria via LeMat-Bulk describes a geometry-optimized LaTe2As structure. The functional is PBE.

Computed properties:
- formation energy without anion corrections (meV/atom) = -704.6

abc: 6.3741 6.5025 11.4762
angles: 90.00 90.00 90.00
Last column: nearest neighbours and their distance in Å.
Space group Fmmm (No. 69)
Symmetry-distinct sites (fractional):
La 0.0000 0.0000 0.0000 [4 per cell]  4 As 3.19-3.25, 4 Te 3.30
Te 0.0000 0.2500 0.2500 [8 per cell]  4 Te 3.19-3.25, 2 As 3.30, 2 La 3.30
As 0.0000 0.0000 0.5000 [4 per cell]  4 La 3.19-3.25, 4 Te 3.30


Entry 2:
This record from Alexandria via LeMat-Bulk describes a geometry-optimized Sr4Tl2Pb structure. The functional is PBE.

Computed properties:
- ΔE_f (eV/f.u.) = -2.5

abc: 5.7793 5.7793 28.2536
angles: 90.00 90.00 120.00
Last column: nearest neighbours and their distance in Å.
Space group R-3m (No. 166, hexagonal axes)
Symmetry-distinct sites (fractional):
Sr 0.0000 0.0000 0.1240 [6 per cell]  4 Tl 3.53-3.56, 3 Pb 3.55
Sr 0.0000 0.0000 0.3750 [6 per cell]  1 Pb 3.53, 4 Tl 3.53-3.54
Tl 0.0000 0.0000 0.2499 [6 per cell]  8 Sr 3.53-3.56
Pb 0.0000 0.0000 0.5000 [3 per cell]  8 Sr 3.53-3.55


Entry 3:
This record from Alexandria via LeMat-Bulk describes a geometry-optimized HfCrRe3 structure. The functional is PBE.

Computed properties:
- polymorph energy (0 for the lowest one) (meV/atom) = 0
- ΔE_f (eV/f.u.) = 4.9

abc: 4.4608 4.4608 4.4608
angles: 90.00 90.00 90.00
Last column: nearest neighbours and their distance in Å.
Space group Pm-3m (No. 221)
Symmetry-distinct sites (fractional):
Hf 0.0000 0.0000 0.0000 [1 per cell]  12 Re 3.15
Cr 0.5000 0.5000 0.5000 [1 per cell]  6 Re 2.23
Re 0.0000 0.5000 0.5000 [3 per cell]  2 Cr 2.23